Compound: Mg3ZnI
Source: Alexandria
Functional: PBE
Structure: relaxed

## Properties
- DOS at the Fermi energy: 4.115 states/eV/f.u.
- Total DFT energy (no corrections): -1.535 eV/atom
- Energy relative to the lowest polymorph listed for this composition: 0.000 eV per atom
- Raw formation energy: -0.0130 eV per atom

POSCAR file:
```
Mg3ZnI
1.0
5.221 0.000 0.000
0.000 5.221 0.000
0.000 0.000 5.221
Mg Zn I
3 1 1
direct
0.000 0.000 0.500
0.000 0.500 0.000
0.500 0.000 0.000
0.000 0.000 0.000
0.500 0.500 0.500
```